# NdFeSe2O8 | the Alexandria database | PBE with a Hubbard U | relaxed
data_NdFeSe2O8
_space_group_name_H-M_alt 'P 1'
_space_group_IT_number 1
_space_group_name_Hall 'P 1'
_cell_length_a 5.618
_cell_length_b 5.618
_cell_length_c 6.814
_cell_angle_alpha 90.00
_cell_angle_beta 90.00
_cell_angle_gamma 120.00
loop_
_atom_site_label
_atom_site_fract_x
_atom_site_fract_y
_atom_site_fract_z
Nd1 0.000 0.000 0.500
Fe1 0.000 0.000 0.000
Se1 0.333 0.667 0.729
Se2 0.667 0.333 0.271
O1 0.157 0.314 0.786
O2 0.157 0.843 0.786
O3 0.686 0.843 0.786
O4 0.314 0.157 0.214
O5 0.667 0.333 0.517
O6 0.333 0.667 0.483
O7 0.843 0.686 0.214
O8 0.843 0.157 0.214
# * E: -6.017 eV/atom
# * space-group type: No. 164
# * size of the total moment: 3.976 μB per cell